AcLa2Ce3Se6: relaxed, GGA-PBE.

Values from the calculation:
raw formation energy = -22.56 eV per formula unit
theoretical density = 6.938 Mg/m³
DOS(E_F) = 1.740 states/eV per atom

a = 7.4109 Å, b = 7.4109 Å, c = 7.4634 Å
α = 99.54°, β = 99.54°, γ = 120.03°
With the nearest neighbours (Å) after each atom.
Atoms (fractional coordinates):
Ac 0.0000 0.0000 0.0000  6 Se 3.10-3.11
La 0.3331 0.6669 0.0000  6 Se 3.06
La 0.6669 0.3331 0.0000  6 Se 3.06
Ce 0.1649 0.8351 0.5000  6 Se 2.98-3.01
Ce 0.8351 0.1649 0.5000  6 Se 2.98-3.01
Ce 0.5000 0.5000 0.5000  6 Se 2.97-3.01
Se 0.9130 0.5747 0.7394  3 Ce 2.98-3.01, 2 La 3.06, 1 Ac 3.11
Se 0.7477 0.7477 0.2586  3 Ce 2.97-3.00, 2 La 3.06, 1 Ac 3.10
Se 0.0870 0.4253 0.2606  3 Ce 2.98-3.01, 2 La 3.06, 1 Ac 3.11
Se 0.5747 0.9130 0.7394  3 Ce 2.98-3.01, 2 La 3.06, 1 Ac 3.11
Se 0.2523 0.2523 0.7414  3 Ce 2.97-3.00, 2 La 3.06, 1 Ac 3.10
Se 0.4253 0.0870 0.2606  3 Ce 2.98-3.01, 2 La 3.06, 1 Ac 3.11

=====

TiBe3In: relaxed, GGA-PBE.

Values from the calculation:
formation enthalpy at 0 K = 6.9 eV per formula unit
theoretical density = 3.485 Mg/m³
DOS(E_F) = 0.669 states/eV per atom
E above lowest polymorph = 0.1764 eV per atom

a = 4.4882 Å, b = 4.4882 Å, c = 4.4882 Å
α = 90.00°, β = 90.00°, γ = 90.00°
With the nearest neighbours (Å) after each atom.
Atoms (fractional coordinates):
Be 0.0000 0.5000 0.0000  2 Ti 2.24
Be 0.0000 0.0000 0.5000  2 Ti 2.24
Be 0.5000 0.0000 0.0000  2 Ti 2.24
Ti 0.0000 0.0000 0.0000  6 Be 2.24
In 0.5000 0.5000 0.5000  12 Be 3.17

=====

HfHgOF2: relaxed, GGA-PBE.

Values from the calculation:
raw formation energy = -12.90 eV per formula unit
theoretical density = 9.379 Mg/m³
DOS(E_F) = 0.000 states/eV per atom
E above lowest polymorph = 0.0000 eV per atom

a = 4.3621 Å, b = 4.3621 Å, c = 4.0298 Å
α = 90.00°, β = 90.00°, γ = 90.00°
With the nearest neighbours (Å) after each atom.
Atoms (fractional coordinates):
Hf 0.0000 0.0000 0.0000  2 O 2.01, 4 F 2.18
Hg 0.5000 0.5000 0.5000  8 F 2.97, 4 O 3.08
O 0.0000 0.0000 0.5000  2 Hf 2.01
F 0.0000 0.5000 0.0000  2 Hf 2.18
F 0.5000 0.0000 0.0000  2 Hf 2.18